# 1
First-principles (PBE) data for an optimized crystal structure of Th2SN, as listed in the Alexandria database.

Results
E ... -8.4514 eV/atom
Excess energy over the best structure of this formula in the dataset ... 66.7 meV/atom
Crystal system ... hexagonal
Mass density ... 10.3 g cm⁻³
SG ... P6_3/mmc, No. 194

```
Th2SN
1.0
3.739 0.000 0.000
-1.869 3.238 0.000
0.000 0.000 13.572
Th S N
4 2 2
Direct
0.333 0.667 0.104
0.333 0.667 0.396
0.667 0.333 0.604
0.667 0.333 0.896
0.333 0.667 0.750
0.667 0.333 0.250
0.000 0.000 0.000
0.000 0.000 0.500
```



# 2
First-principles (PBE) data for an optimized crystal structure of Th2SN2, as listed in the Alexandria database.

Results
E ... -9.1249 eV/atom
Crystal system ... trigonal
Mass density ... 8.9 g cm⁻³
SG ... P-3m1, No. 164

```
Th2SN2
1.0
4.023 0.000 0.000
-2.012 3.484 0.000
0.000 0.000 6.942
Th S N
2 1 2
Direct
0.333 0.667 0.288
0.667 0.333 0.712
0.000 0.000 0.000
0.333 0.667 0.631
0.667 0.333 0.369
```



# 3
First-principles (PBE) data for an optimized crystal structure of Th4S3N, as listed in the Alexandria database.

Results
E ... -7.9422 eV/atom
Crystal system ... cubic
Mass density ... 9.8 g cm⁻³
SG ... Pm-3m, No. 221

```
Th4S3N
1.0
5.600 0.000 0.000
0.000 5.600 0.000
0.000 0.000 5.600
Th S N
4 3 1
Direct
0.000 0.000 0.000
0.000 0.500 0.500
0.500 0.000 0.500
0.500 0.500 0.000
0.000 0.000 0.500
0.000 0.500 0.000
0.500 0.000 0.000
0.500 0.500 0.500
```



# 4
First-principles (PBE) data for an optimized crystal structure of ThTiS2N, as listed in the Alexandria database.

Results
E ... -7.8754 eV/atom
Crystal system ... tetragonal
Mass density ... 6.2 g cm⁻³
SG ... P4/nmm, No. 129

```
ThTiS2N
1.0
3.838 0.000 0.000
0.000 3.838 0.000
0.000 0.000 12.946
Th Ti S N
2 2 4 2
Direct
0.250 0.250 0.098
0.750 0.750 0.902
0.250 0.250 0.600
0.750 0.750 0.400
0.250 0.250 0.407
0.250 0.250 0.778
0.750 0.750 0.222
0.750 0.750 0.593
0.250 0.750 0.000
0.750 0.250 0.000
```



# 5
First-principles (PBE) data for an optimized crystal structure of ThUSN2, as listed in the Alexandria database.

Results
E ... -9.5048 eV/atom
Crystal system ... tetragonal
Mass density ... 9.6 g cm⁻³
SG ... I4mm, No. 107

```
ThUSN2
1.0
3.864 0.000 0.000
0.000 3.864 0.000
0.000 0.000 12.290
Th U S N
2 2 2 4
Direct
0.000 0.000 0.000
0.500 0.500 0.500
0.000 0.000 0.303
0.500 0.500 0.803
0.000 0.000 0.642
0.500 0.500 0.142
0.000 0.500 0.392
0.000 0.500 0.892
0.500 0.000 0.392
0.500 0.000 0.892
```



# 6
First-principles (PBE) data for an optimized crystal structure of YThS2N, as listed in the Alexandria database.

Results
E ... -8.0549 eV/atom
Crystal system ... tetragonal
Mass density ... 6.0 g cm⁻³
SG ... P4/nmm, No. 129

```
YThS2N
1.0
3.967 0.000 0.000
0.000 3.967 0.000
0.000 0.000 13.971
Y Th S N
2 2 4 2
Direct
0.250 0.250 0.117
0.750 0.750 0.883
0.250 0.250 0.588
0.750 0.750 0.412
0.250 0.250 0.299
0.250 0.250 0.909
0.750 0.750 0.091
0.750 0.750 0.701
0.250 0.750 0.500
0.750 0.250 0.500
```



# 7
First-principles (PBE) data for an optimized crystal structure of TiS2N2, as listed in the Alexandria database.

Results
E ... -5.8659 eV/atom
Excess energy over the best structure of this formula in the dataset ... 0.0 meV/atom
Crystal system ... tetragonal
Mass density ... 3.0 g cm⁻³
SG ... P4/mmm, No. 123

```
TiS2N2
1.0
3.779 0.000 0.000
0.000 3.779 0.000
0.000 0.000 5.469
Ti S N
1 2 2
Direct
0.000 0.000 0.000
0.000 0.000 0.500
0.500 0.500 0.500
0.000 0.500 0.000
0.500 0.000 0.000
```



# 8
First-principles (PBE) data for an optimized crystal structure of Ti2SN2, as listed in the Alexandria database.

Results
E ... -8.6522 eV/atom
Crystal system ... trigonal
Mass density ... 4.2 g cm⁻³
SG ... P-3m1, No. 164

```
Ti2SN2
1.0
3.396 0.000 0.000
-1.698 2.941 0.000
0.000 0.000 6.148
Ti S N
2 1 2
Direct
0.333 0.667 0.199
0.667 0.333 0.801
0.000 0.000 0.500
0.333 0.667 0.864
0.667 0.333 0.136
```



# 9
First-principles (PBE) data for an optimized crystal structure of Ti2SN2, as listed in the Alexandria database.

Results
E ... -8.3745 eV/atom
Crystal system ... tetragonal
Mass density ... 4.0 g cm⁻³
SG ... I4/mmm, No. 139

```
Ti2SN2
1.0
3.469 0.000 0.000
0.000 3.469 0.000
0.000 0.000 10.860
Ti S N
4 2 4
Direct
0.000 0.000 0.162
0.000 0.000 0.838
0.500 0.500 0.338
0.500 0.500 0.662
0.000 0.000 0.500
0.500 0.500 0.000
0.000 0.500 0.250
0.000 0.500 0.750
0.500 0.000 0.250
0.500 0.000 0.750
```



# 10
First-principles (PBE) data for an optimized crystal structure of TiS2N2, as listed in the Alexandria database.

Results
E ... -5.4880 eV/atom
Excess energy over the best structure of this formula in the dataset ... 378.0 meV/atom
Crystal system ... tetragonal
Mass density ... 4.0 g cm⁻³
SG ... P4/mmm, No. 123

```
TiS2N2
1.0
3.808 0.000 0.000
0.000 3.808 0.000
0.000 0.000 3.988
Ti S N
1 2 2
Direct
0.000 0.000 0.000
0.000 0.500 0.500
0.500 0.000 0.500
0.500 0.500 0.000
0.500 0.500 0.500
```



# 11
First-principles (PBE) data for an optimized crystal structure of Ti4SN2, as listed in the Alexandria database.

Results
E ... -7.7502 eV/atom
Crystal system ... tetragonal
Mass density ... 3.9 g cm⁻³
SG ... I4/mmm, No. 139

```
Ti4SN2
1.0
4.394 0.000 0.000
0.000 4.394 0.000
0.000 0.000 11.006
Ti S N
8 2 4
Direct
0.000 0.000 0.236
0.000 0.000 0.764
0.000 0.500 0.000
0.000 0.500 0.500
0.500 0.000 0.000
0.500 0.000 0.500
0.500 0.500 0.264
0.500 0.500 0.736
0.000 0.000 0.000
0.500 0.500 0.500
0.000 0.000 0.398
0.000 0.000 0.602
0.500 0.500 0.102
0.500 0.500 0.898
```



# 12
First-principles (PBE) data for an optimized crystal structure of TiSN3, as listed in the Alexandria database.

Results
E ... -6.4550 eV/atom
Crystal system ... cubic
Mass density ... 4.7 g cm⁻³
SG ... Pm-3m, No. 221

```
TiSN3
1.0
3.504 0.000 0.000
0.000 3.504 0.000
0.000 0.000 3.504
Ti S N
1 1 3
Direct
0.000 0.000 0.000
0.500 0.500 0.500
0.000 0.500 0.500
0.500 0.000 0.500
0.500 0.500 0.000
```



# 13
First-principles (PBE) data for an optimized crystal structure of Ti2SN, as listed in the Alexandria database.

Results
E ... -8.2579 eV/atom
Excess energy over the best structure of this formula in the dataset ... 321.0 meV/atom
Crystal system ... orthorhombic
Mass density ... 3.9 g cm⁻³
SG ... Pmn2_1, No. 31

```
Ti2SN
1.0
3.283 0.000 0.000
0.000 7.816 0.000
0.000 0.000 4.700
Ti S N
4 2 2
Direct
0.000 0.092 0.000
0.000 0.691 0.987
0.500 0.309 0.487
0.500 0.908 0.500
0.000 0.387 0.836
0.500 0.613 0.336
0.000 0.889 0.744
0.500 0.111 0.244
```



# 14
First-principles (PBE) data for an optimized crystal structure of Ti6SN2, as listed in the Alexandria database.

Results
E ... -8.6054 eV/atom
Crystal system ... monoclinic
Mass density ... 4.5 g cm⁻³
SG ... C2/m, No. 12

```
Ti6SN2
1.0
4.962 -1.993 0.000
4.962 1.993 0.000
-2.964 0.000 6.500
Ti S N
6 1 2
Direct
0.016 0.016 0.195
0.313 0.313 0.928
0.336 0.336 0.401
0.664 0.664 0.599
0.687 0.687 0.072
0.984 0.984 0.805
0.000 0.000 0.500
0.177 0.177 0.085
0.823 0.823 0.915
```



# 15
First-principles (PBE) data for an optimized crystal structure of Ti4S3N, as listed in the Alexandria database.

Results
E ... -7.6571 eV/atom
Crystal system ... orthorhombic
Mass density ... 3.7 g cm⁻³
SG ... Pmn2_1, No. 31

```
Ti4S3N
1.0
6.812 0.000 0.000
0.000 6.253 0.000
0.000 0.000 6.389
Ti S N
8 6 2
Direct
0.000 0.146 0.000
0.000 0.850 0.361
0.243 0.744 0.907
0.257 0.256 0.407
0.500 0.150 0.861
0.500 0.854 0.500
0.743 0.256 0.407
0.757 0.744 0.907
0.000 0.129 0.621
0.235 0.616 0.552
0.265 0.384 0.052
0.500 0.871 0.121
0.735 0.384 0.052
0.765 0.616 0.552
0.000 0.830 0.050
0.500 0.170 0.550
```



# 16
First-principles (PBE) data for an optimized crystal structure of Ti8S2N, as listed in the Alexandria database.

Results
E ... -7.7511 eV/atom
Crystal system ... monoclinic
Mass density ... 3.9 g cm⁻³
SG ... C2/m, No. 12

```
Ti8S2N
1.0
4.418 -3.791 0.000
4.418 3.791 0.000
-1.234 0.000 5.844
Ti S N
8 2 1
Direct
0.101 0.711 0.663
0.249 0.249 0.698
0.289 0.899 0.337
0.394 0.394 0.325
0.606 0.606 0.675
0.711 0.101 0.663
0.751 0.751 0.302
0.899 0.289 0.337
0.166 0.166 0.048
0.834 0.834 0.952
0.000 0.000 0.500
```



# 17
First-principles (PBE) data for an optimized crystal structure of TiS2N2, as listed in the Alexandria database.

Results
E ... -5.6097 eV/atom
Excess energy over the best structure of this formula in the dataset ... 256.2 meV/atom
Crystal system ... tetragonal
Mass density ... 4.0 g cm⁻³
SG ... P4/mmm, No. 123

```
TiS2N2
1.0
3.591 0.000 0.000
0.000 3.591 0.000
0.000 0.000 4.465
Ti S N
1 2 2
Direct
0.000 0.000 0.000
0.500 0.500 0.000
0.500 0.500 0.500
0.000 0.500 0.500
0.500 0.000 0.500
```



# 18
First-principles (PBE) data for an optimized crystal structure of Ti2SN, as listed in the Alexandria database.

Results
E ... -7.7861 eV/atom
Excess energy over the best structure of this formula in the dataset ... 792.8 meV/atom
Crystal system ... cubic
Mass density ... 5.0 g cm⁻³
SG ... Fm-3m, No. 225

```
Ti2SN
1.0
5.736 0.000 0.000
0.000 5.736 0.000
0.000 0.000 5.736
Ti S N
8 4 4
Direct
0.250 0.250 0.250
0.250 0.250 0.750
0.250 0.750 0.250
0.250 0.750 0.750
0.750 0.250 0.250
0.750 0.250 0.750
0.750 0.750 0.250
0.750 0.750 0.750
0.000 0.000 0.000
0.000 0.500 0.500
0.500 0.000 0.500
0.500 0.500 0.000
0.000 0.000 0.500
0.000 0.500 0.000
0.500 0.000 0.000
0.500 0.500 0.500
```



# 19
First-principles (PBE) data for an optimized crystal structure of Ti2SN, as listed in the Alexandria database.

Results
E ... -8.5654 eV/atom
Excess energy over the best structure of this formula in the dataset ... 13.4 meV/atom
Crystal system ... trigonal
Mass density ... 4.7 g cm⁻³
SG ... R-3m, No. 166

```
Ti2SN
1.0
3.216 0.000 0.000
-1.608 2.785 0.000
0.000 0.000 16.698
Ti S N
6 3 3
Direct
0.000 0.000 0.228
0.000 0.000 0.772
0.333 0.667 0.438
0.333 0.667 0.895
0.667 0.333 0.105
0.667 0.333 0.562
0.000 0.000 0.000
0.333 0.667 0.667
0.667 0.333 0.333
0.000 0.000 0.500
0.333 0.667 0.167
0.667 0.333 0.833
```



# 20
First-principles (PBE) data for an optimized crystal structure of TiS2N2, as listed in the Alexandria database.

Results
E ... -5.4007 eV/atom
Excess energy over the best structure of this formula in the dataset ... 465.2 meV/atom
Crystal system ... tetragonal
Mass density ... 2.7 g cm⁻³
SG ... P4/mmm, No. 123

```
TiS2N2
1.0
4.754 0.000 0.000
0.000 4.754 0.000
0.000 0.000 3.880
Ti S N
1 2 2
Direct
0.000 0.000 0.000
0.000 0.500 0.000
0.500 0.000 0.000
0.000 0.000 0.500
0.500 0.500 0.500
```



# 21
First-principles (PBE) data for an optimized crystal structure of Ti4SN, as listed in the Alexandria database.

Results
E ... -8.3783 eV/atom
Crystal system ... tetragonal
Mass density ... 4.4 g cm⁻³
SG ... I4_1md, No. 109

```
Ti4SN
1.0
-3.680 3.680 3.281
3.680 -3.680 3.281
3.680 3.680 -3.281
Ti S N
8 2 2
Direct
0.191 0.000 0.191
0.195 0.484 0.288
0.195 0.907 0.712
0.234 0.445 0.788
0.657 0.445 0.212
0.750 0.059 0.309
0.750 0.441 0.691
0.809 0.000 0.809
0.461 0.961 0.500
0.711 0.711 0.000
0.233 0.233 0.000
0.983 0.483 0.500
```



# 22
First-principles (PBE) data for an optimized crystal structure of Ti2SN, as listed in the Alexandria database.

Results
E ... -8.2541 eV/atom
Excess energy over the best structure of this formula in the dataset ... 324.8 meV/atom
Crystal system ... tetragonal
Mass density ... 3.8 g cm⁻³
SG ... I-42d, No. 122

```
Ti2SN
1.0
5.043 0.000 0.000
0.000 5.043 0.000
0.000 0.000 9.820
Ti S N
8 4 4
Direct
0.184 0.250 0.125
0.250 0.684 0.375
0.250 0.816 0.875
0.316 0.250 0.625
0.684 0.750 0.625
0.750 0.184 0.875
0.750 0.316 0.375
0.816 0.750 0.125
0.000 0.000 0.500
0.000 0.500 0.750
0.500 0.000 0.250
0.500 0.500 0.000
0.000 0.000 0.000
0.000 0.500 0.250
0.500 0.000 0.750
0.500 0.500 0.500
```



# 23
First-principles (PBE) data for an optimized crystal structure of Ti2SN, as listed in the Alexandria database.

Results
E ... -8.5789 eV/atom
Excess energy over the best structure of this formula in the dataset ... 0.0 meV/atom
Crystal system ... trigonal
Mass density ... 4.8 g cm⁻³
SG ... R3m, No. 160

```
Ti2SN
1.0
3.151 0.000 0.000
-1.575 2.728 0.000
0.000 0.000 17.044
Ti S N
6 3 3
Direct
0.000 0.000 0.000
0.000 0.000 0.203
0.333 0.667 0.667
0.333 0.667 0.870
0.667 0.333 0.333
0.667 0.333 0.536
0.000 0.000 0.434
0.333 0.667 0.101
0.667 0.333 0.767
0.000 0.000 0.604
0.333 0.667 0.270
0.667 0.333 0.937
```



# 24
First-principles (PBE) data for an optimized crystal structure of TiTlS2N, as listed in the Alexandria database.

Results
E ... -5.6011 eV/atom
Excess energy over the best structure of this formula in the dataset ... 0.0 meV/atom
Crystal system ... tetragonal
Mass density ... 5.8 g cm⁻³
SG ... P4/mmm, No. 123

```
TiTlS2N
1.0
4.958 0.000 0.000
0.000 4.958 0.000
0.000 0.000 3.848
Ti Tl S N
1 1 2 1
Direct
0.000 0.000 0.000
0.500 0.500 0.500
0.000 0.500 0.000
0.500 0.000 0.000
0.000 0.000 0.500
```



# 25
First-principles (PBE) data for an optimized crystal structure of TiTlSN2, as listed in the Alexandria database.

Results
E ... -4.6043 eV/atom
Excess energy over the best structure of this formula in the dataset ... 1439.5 meV/atom
Crystal system ... tetragonal
Mass density ... 5.5 g cm⁻³
SG ... P4/mmm, No. 123

```
TiTlSN2
1.0
4.173 0.000 0.000
0.000 4.173 0.000
0.000 0.000 5.436
Ti Tl S N
1 1 1 2
Direct
0.000 0.000 0.000
0.500 0.500 0.500
0.500 0.500 0.000
0.000 0.500 0.500
0.500 0.000 0.500
```



# 26
First-principles (PBE) data for an optimized crystal structure of TiTlS2N, as listed in the Alexandria database.

Results
E ... -4.1087 eV/atom
Excess energy over the best structure of this formula in the dataset ... 1492.4 meV/atom
Crystal system ... tetragonal
Mass density ... 5.2 g cm⁻³
SG ... P4/mmm, No. 123

```
TiTlS2N
1.0
5.087 0.000 0.000
0.000 5.087 0.000
0.000 0.000 4.066
Ti Tl S N
1 1 2 1
Direct
0.000 0.000 0.000
0.500 0.500 0.500
0.000 0.500 0.500
0.500 0.000 0.500
0.500 0.500 0.000
```